*i*
A plane-wave DFT calculation with PBE was carried out for an optimized crystal structure of GaAs2Pb2.

- Density of states at the Fermi level: 5.1 states/eV per cell

Cell and atoms, written as CIF:
```
data_GaAs2Pb2
_cell_length_a 3.8031
_cell_length_b 3.8031
_cell_length_c 17.8338
_cell_angle_alpha 90.00
_cell_angle_beta 90.00
_cell_angle_gamma 90.00
_space_group_name_H-M_alt 'I 4/m m m'
_space_group_IT_number 139
_space_group_name_Hall '-I 4 2'
loop_
_atom_site_label
_atom_site_fract_x
_atom_site_fract_y
_atom_site_fract_z
Ga1 0.0000 0.0000 0.0000
As1 0.0000 0.5000 0.2500
Pb1 0.0000 0.0000 0.3980
```

=====

*ii*
A plane-wave DFT calculation with PBE was carried out for an optimized crystal structure of GaAs2Pb2.

- Density of states at the Fermi level: 4.2 states/eV per cell

Cell and atoms, written as CIF:
```
data_GaAs2Pb2
_cell_length_a 8.4621
_cell_length_b 8.4621
_cell_length_c 3.8261
_cell_angle_alpha 90.00
_cell_angle_beta 90.00
_cell_angle_gamma 90.00
_space_group_name_H-M_alt 'P 4/m b m'
_space_group_IT_number 127
_space_group_name_Hall '-P 4 2ab'
loop_
_atom_site_label
_atom_site_fract_x
_atom_site_fract_y
_atom_site_fract_z
Ga1 0.0000 0.0000 0.0000
As1 0.1087 0.3913 0.5000
Pb1 0.1714 0.6714 0.0000
```

=====

Of them, *i* has the highest stability.

=====

*i*
A plane-wave DFT calculation with PBE was carried out for an optimized crystal structure of GaAsPb.

- Density of states at the Fermi level: 1.3 states/eV per cell

Cell and atoms, written as CIF:
```
data_GaAsPb
_cell_length_a 3.9964
_cell_length_b 3.9964
_cell_length_c 5.3821
_cell_angle_alpha 90.00
_cell_angle_beta 90.00
_cell_angle_gamma 120.00
_space_group_name_H-M_alt 'P 3 m 1'
_space_group_IT_number 156
_space_group_name_Hall 'P 3 -2"'
loop_
_atom_site_label
_atom_site_fract_x
_atom_site_fract_y
_atom_site_fract_z
Ga1 0.0000 0.0000 0.0000
As1 0.6667 0.3333 0.7872
Pb1 0.3333 0.6667 0.4043
```

=====

*ii*
A plane-wave DFT calculation with PBE was carried out for an optimized crystal structure of GaAsPb.

- Density of states at the Fermi level: 3.0 states/eV per cell

Cell and atoms, written as CIF:
```
data_GaAsPb
_cell_length_a 4.5938
_cell_length_b 5.0551
_cell_length_c 14.6842
_cell_angle_alpha 90.00
_cell_angle_beta 90.00
_cell_angle_gamma 90.00
_space_group_name_H-M_alt 'I m m m'
_space_group_IT_number 71
_space_group_name_Hall '-I 2 2'
loop_
_atom_site_label
_atom_site_fract_x
_atom_site_fract_y
_atom_site_fract_z
Ga1 0.0000 0.2384 0.0000
As1 0.0000 0.5000 0.1441
Pb1 0.0000 0.5000 0.3713
```

=====

Of them, *i* has the highest stability.

=====

*i*
A plane-wave DFT calculation with PBE was carried out for an optimized crystal structure of GaAsPd2.

- Density of states at the Fermi level: 7.9 states/eV per cell

Cell and atoms, written as CIF:
```
data_GaAsPd2
_cell_length_a 6.3377
_cell_length_b 6.3377
_cell_length_c 6.3377
_cell_angle_alpha 90.00
_cell_angle_beta 90.00
_cell_angle_gamma 90.00
_space_group_name_H-M_alt 'F m -3 m'
_space_group_IT_number 225
_space_group_name_Hall '-F 4 2 3'
loop_
_atom_site_label
_atom_site_fract_x
_atom_site_fract_y
_atom_site_fract_z
Ga1 0.0000 0.0000 0.0000
As1 0.0000 0.0000 0.5000
Pd1 0.2500 0.2500 0.2500
```

=====

*ii*
A plane-wave DFT calculation with PBE was carried out for an optimized crystal structure of GaAsPd2.

- Density of states at the Fermi level: 3.2 states/eV per cell

Cell and atoms, written as CIF:
```
data_GaAsPd2
_cell_length_a 4.0877
_cell_length_b 4.0877
_cell_length_c 16.7274
_cell_angle_alpha 90.00
_cell_angle_beta 90.00
_cell_angle_gamma 90.00
_space_group_name_H-M_alt 'I -4 2 d'
_space_group_IT_number 122
_space_group_name_Hall 'I -4 2bw'
loop_
_atom_site_label
_atom_site_fract_x
_atom_site_fract_y
_atom_site_fract_z
Ga1 0.0000 0.0000 0.0000
As1 0.0000 0.0000 0.5000
Pd1 0.2400 0.2500 0.6250
```

=====

Of them, *i* has the highest stability.